[1]
# LaSiIr2

An optimized crystal structure of LaSiIr2 (PBE, the Alexandria database).

- raw formation energy (eV/atom) = -0.79
- VASP energy (eV/atom) = -7.807

Cell and atoms, written as CIF:
```
data_LaSiIr2
_chemical_formula_sum 'La2 Si2 Ir4'
_cell_length_a 4.078
_cell_length_b 4.078
_cell_length_c 9.693
_cell_angle_alpha 90.00
_cell_angle_beta 90.00
_cell_angle_gamma 90.00
_symmetry_space_group_name_H-M 'P 4/n m m'
_symmetry_Int_Tables_number 129
loop_
_symmetry_equiv_pos_as_xyz
'x,y,z'
'-x,-y,-z'
'-y+1/2,x,z'
'y+1/2,-x,-z'
'-x+1/2,-y+1/2,z'
'x+1/2,y+1/2,-z'
'y,-x+1/2,z'
'-y,x+1/2,-z'
'x+1/2,-y,-z'
'-x+1/2,y,z'
'-y,-x,-z'
'y,x,z'
'-x,y+1/2,-z'
'x,-y+1/2,z'
'y+1/2,x+1/2,-z'
'-y+1/2,-x+1/2,z'
loop_
_atom_site_label
_atom_site_type_symbol
_atom_site_fract_x
_atom_site_fract_y
_atom_site_fract_z
_atom_site_occupancy
La1 La 0.250 0.250 0.199 1
Si1 Si 0.250 0.250 0.632 1
Ir1 Ir 0.250 0.250 0.870 1
Ir2 Ir 0.250 0.750 0.500 1
```

=====

[2]
# CdTcNi2

An optimized crystal structure of CdTcNi2 (PBE, the Alexandria database).

- formation energy (eV/atom) = 0.38
- VASP energy (eV/atom) = -5.335

Cell and atoms, written as CIF:
```
data_CdTcNi2
_chemical_formula_sum 'Cd2 Tc2 Ni4'
_cell_length_a 3.736
_cell_length_b 3.736
_cell_length_c 8.139
_cell_angle_alpha 90.00
_cell_angle_beta 90.00
_cell_angle_gamma 90.00
_symmetry_space_group_name_H-M 'I -4 m 2'
_symmetry_Int_Tables_number 119
_symmetry_space_group_name_Hall 'I -4 -2'
loop_
_atom_site_label
_atom_site_type_symbol
_atom_site_fract_x
_atom_site_fract_y
_atom_site_fract_z
_atom_site_occupancy
Cd1 Cd 0.000 0.000 0.000 1
Tc1 Tc 0.000 0.500 0.250 1
Ni1 Ni 0.000 0.000 0.500 1
Ni2 Ni 0.000 0.500 0.750 1
```

=====

[3]
# Mg7InPd4

An optimized crystal structure of Mg7InPd4 (PBE, the Alexandria database).

- formation energy (eV/atom) = -0.33
- VASP energy (eV/atom) = -3.218

Cell and atoms, written as CIF:
```
data_Mg7InPd4
_chemical_formula_sum 'Mg14 In2 Pd8'
_cell_length_a 12.829
_cell_length_b 5.003
_cell_length_c 9.125
_cell_angle_alpha 90.00
_cell_angle_beta 125.63
_cell_angle_gamma 90.00
_symmetry_space_group_name_H-M 'C 1 2/m 1'
_symmetry_Int_Tables_number 12
loop_
_symmetry_equiv_pos_as_xyz
'x,y,z'
'-x,-y,-z'
'-x,y,-z'
'x,-y,z'
'x+1/2,y+1/2,z'
'-x+1/2,-y+1/2,-z'
'-x+1/2,y+1/2,-z'
'x+1/2,-y+1/2,z'
loop_
_atom_site_label
_atom_site_type_symbol
_atom_site_fract_x
_atom_site_fract_y
_atom_site_fract_z
_atom_site_occupancy
Mg1 Mg 0.000 0.000 0.000 1
Mg2 Mg 0.065 0.500 0.377 1
Mg3 Mg 0.195 0.000 0.638 1
Mg4 Mg 0.219 0.500 0.878 1
In1 In 0.000 0.500 0.000 1
Pd1 Pd 0.063 0.000 0.771 1
Pd2 Pd 0.196 0.000 0.347 1
```

=====

[4]
# TmScTlCu

An optimized crystal structure of TmScTlCu (PBE, the Alexandria database).

- excess energy over the best structure of this formula in the dataset (meV per atom) = 42
- formation energy (eV/atom) = -0.24
- VASP energy (eV/atom) = -4.553

Cell and atoms, written as CIF:
```
data_TmScTlCu
_chemical_formula_sum 'Tm4 Sc4 Tl4 Cu4'
_cell_length_a 7.067
_cell_length_b 7.067
_cell_length_c 7.067
_cell_angle_alpha 90.00
_cell_angle_beta 90.00
_cell_angle_gamma 90.00
_symmetry_space_group_name_H-M 'F -4 3 m'
_symmetry_Int_Tables_number 216
_symmetry_space_group_name_Hall 'F -4 2 3'
loop_
_atom_site_label
_atom_site_type_symbol
_atom_site_fract_x
_atom_site_fract_y
_atom_site_fract_z
_atom_site_occupancy
Tm1 Tm 0.000 0.000 0.000 1
Sc1 Sc 0.000 0.000 0.500 1
Tl1 Tl 0.250 0.250 0.750 1
Cu1 Cu 0.250 0.250 0.250 1
```

=====

[5]
# FeOs2Rh

An optimized crystal structure of FeOs2Rh (PBE, the Alexandria database).

- excess energy over the best structure of this formula in the dataset (meV per atom) = 67
- formation energy (eV/atom) = 0.15
- VASP energy (eV/atom) = -9.423

Cell and atoms, written as CIF:
```
data_FeOs2Rh
_chemical_formula_sum 'Fe1 Os2 Rh1'
_cell_length_a 2.662
_cell_length_b 2.662
_cell_length_c 7.531
_cell_angle_alpha 90.00
_cell_angle_beta 90.00
_cell_angle_gamma 90.00
_symmetry_space_group_name_H-M 'P 4/m m m'
_symmetry_Int_Tables_number 123
_symmetry_space_group_name_Hall '-P 4 2'
loop_
_atom_site_label
_atom_site_type_symbol
_atom_site_fract_x
_atom_site_fract_y
_atom_site_fract_z
_atom_site_occupancy
Fe1 Fe 0.000 0.000 0.000 1
Os1 Os 0.500 0.500 0.236 1
Rh1 Rh 0.000 0.000 0.500 1
```

=====

[6]
# RbReSn3

An optimized crystal structure of RbReSn3 (PBE, the Alexandria database).

- excess energy over the best structure of this formula in the dataset (meV per atom) = 0
- formation energy (eV/atom) = 0.25
- VASP energy (eV/atom) = -4.837

Cell and atoms, written as CIF:
```
data_RbReSn3
_chemical_formula_sum 'Rb1 Re1 Sn3'
_cell_length_a 5.303
_cell_length_b 5.303
_cell_length_c 5.303
_cell_angle_alpha 90.00
_cell_angle_beta 90.00
_cell_angle_gamma 90.00
_symmetry_space_group_name_H-M 'P m -3 m'
_symmetry_Int_Tables_number 221
_symmetry_space_group_name_Hall '-P 4 2 3'
loop_
_atom_site_label
_atom_site_type_symbol
_atom_site_fract_x
_atom_site_fract_y
_atom_site_fract_z
_atom_site_occupancy
Rb1 Rb 0.000 0.000 0.000 1
Re1 Re 0.500 0.500 0.500 1
Sn1 Sn 0.000 0.500 0.500 1
```

=====

[7]
# CoRe2Tc

An optimized crystal structure of CoRe2Tc (PBE, the Alexandria database).

- excess energy over the best structure of this formula in the dataset (meV per atom) = 73
- formation energy (eV/atom) = 0.10
- VASP energy (eV/atom) = -10.493

Cell and atoms, written as CIF:
```
data_CoRe2Tc
_chemical_formula_sum 'Co2 Re4 Tc2'
_cell_length_a 8.873
_cell_length_b 2.718
_cell_length_c 4.682
_cell_angle_alpha 90.00
_cell_angle_beta 100.05
_cell_angle_gamma 90.00
_symmetry_space_group_name_H-M 'C 1 2/m 1'
_symmetry_Int_Tables_number 12
loop_
_symmetry_equiv_pos_as_xyz
'x,y,z'
'-x,-y,-z'
'-x,y,-z'
'x,-y,z'
'x+1/2,y+1/2,z'
'-x+1/2,-y+1/2,-z'
'-x+1/2,y+1/2,-z'
'x+1/2,-y+1/2,z'
loop_
_atom_site_label
_atom_site_type_symbol
_atom_site_fract_x
_atom_site_fract_y
_atom_site_fract_z
_atom_site_occupancy
Co1 Co 0.000 0.000 0.000 1
Re1 Re 0.246 0.500 0.242 1
Tc1 Tc 0.000 0.500 0.500 1
```

=====

[8]
# Ce5YGa6

An optimized crystal structure of Ce5YGa6 (PBE, the Alexandria database).

- formation energy (eV/atom) = -0.47
- VASP energy (eV/atom) = -4.999

Cell and atoms, written as CIF:
```
data_Ce5YGa6
_chemical_formula_sum 'Ce10 Y2 Ga12'
_cell_length_a 5.125
_cell_length_b 15.426
_cell_length_c 7.277
_cell_angle_alpha 90.00
_cell_angle_beta 90.00
_cell_angle_gamma 90.00
_symmetry_space_group_name_H-M 'C m m m'
_symmetry_Int_Tables_number 65
_symmetry_space_group_name_Hall '-C 2 2'
loop_
_atom_site_label
_atom_site_type_symbol
_atom_site_fract_x
_atom_site_fract_y
_atom_site_fract_z
_atom_site_occupancy
Ce1 Ce 0.000 0.000 0.000 1
Ce2 Ce 0.000 0.327 0.000 1
Ce3 Ce 0.000 0.333 0.500 1
Y1 Y 0.000 0.000 0.500 1
Ga1 Ga 0.000 0.163 0.255 1
Ga2 Ga 0.000 0.500 0.252 1
```

=====

[9]
# Ce2PrI6

An optimized crystal structure of Ce2PrI6 (PBE, the Alexandria database).

- excess energy over the best structure of this formula in the dataset (meV per atom) = 0
- raw formation energy (eV/atom) = -1.25
- VASP energy (eV/atom) = -4.138

Cell and atoms, written as CIF:
```
data_Ce2PrI6
_chemical_formula_sum 'Ce4 Pr2 I12'
_cell_length_a 17.798
_cell_length_b 4.252
_cell_length_c 11.015
_cell_angle_alpha 90.00
_cell_angle_beta 112.98
_cell_angle_gamma 90.00
_symmetry_space_group_name_H-M 'C 1 2/m 1'
_symmetry_Int_Tables_number 12
loop_
_symmetry_equiv_pos_as_xyz
'x,y,z'
'-x,-y,-z'
'-x,y,-z'
'x,-y,z'
'x+1/2,y+1/2,z'
'-x+1/2,-y+1/2,-z'
'-x+1/2,y+1/2,-z'
'x+1/2,-y+1/2,z'
loop_
_atom_site_label
_atom_site_type_symbol
_atom_site_fract_x
_atom_site_fract_y
_atom_site_fract_z
_atom_site_occupancy
Ce1 Ce 0.173 0.000 0.344 1
Pr1 Pr 0.000 0.500 0.000 1
I1 I 0.029 0.500 0.306 1
I2 I 0.142 0.000 0.033 1
I3 I 0.189 0.000 0.643 1
```

=====

[10]
# Ca2ZnMo

An optimized crystal structure of Ca2ZnMo (PBE, the Alexandria database).

- formation energy (eV/atom) = 0.40
- VASP energy (eV/atom) = -3.629

Cell and atoms, written as CIF:
```
data_Ca2ZnMo
_chemical_formula_sum 'Ca4 Zn2 Mo2'
_cell_length_a 11.499
_cell_length_b 3.114
_cell_length_c 5.520
_cell_angle_alpha 90.00
_cell_angle_beta 109.80
_cell_angle_gamma 90.00
_symmetry_space_group_name_H-M 'C 1 m 1'
_symmetry_Int_Tables_number 8
loop_
_symmetry_equiv_pos_as_xyz
'x,y,z'
'x,-y,z'
'x+1/2,y+1/2,z'
'x+1/2,-y+1/2,z'
loop_
_atom_site_label
_atom_site_type_symbol
_atom_site_fract_x
_atom_site_fract_y
_atom_site_fract_z
_atom_site_occupancy
Ca1 Ca 0.000 0.000 0.000 1
Ca2 Ca 0.201 0.000 0.623 1
Zn1 Zn 0.257 0.500 0.158 1
Mo1 Mo 0.435 0.000 0.454 1
```

=====

[11]
# Zn2TcOs

An optimized crystal structure of Zn2TcOs (PBE, the Alexandria database).

- excess energy over the best structure of this formula in the dataset (meV per atom) = 68
- formation energy (eV/atom) = 0.05
- VASP energy (eV/atom) = -5.985

Cell and atoms, written as CIF:
```
data_Zn2TcOs
_chemical_formula_sum 'Zn6 Tc3 Os3'
_cell_length_a 2.7459
_cell_length_b 2.7459
_cell_length_c 27.1614
_cell_angle_alpha 90.00
_cell_angle_beta 90.00
_cell_angle_gamma 120.00
_symmetry_space_group_name_H-M 'R 3 m'
_symmetry_Int_Tables_number 160
_symmetry_space_group_name_Hall 'R 3 -2"'
loop_
_atom_site_label
_atom_site_type_symbol
_atom_site_fract_x
_atom_site_fract_y
_atom_site_fract_z
_atom_site_occupancy
Zn1 Zn 0.0000 0.0000 0.0000 1
Zn2 Zn 0.0000 0.0000 0.2440 1
Tc1 Tc 0.0000 0.0000 0.4938 1
Os1 Os 0.0000 0.0000 0.7505 1
```

=====

[12]
# Ce14DyPu

An optimized crystal structure of Ce14DyPu (PBE, the Alexandria database).

- formation energy (eV/atom) = 0.04
- VASP energy (eV/atom) = -6.339

Cell and atoms, written as CIF:
```
data_Ce14DyPu
_chemical_formula_sum 'Ce14 Dy1 Pu1'
_cell_length_a 6.690
_cell_length_b 6.690
_cell_length_c 9.419
_cell_angle_alpha 90.00
_cell_angle_beta 90.00
_cell_angle_gamma 90.00
_symmetry_space_group_name_H-M 'P 4/m m m'
_symmetry_Int_Tables_number 123
_symmetry_space_group_name_Hall '-P 4 2'
loop_
_atom_site_label
_atom_site_type_symbol
_atom_site_fract_x
_atom_site_fract_y
_atom_site_fract_z
_atom_site_occupancy
Ce1 Ce 0.000 0.000 0.000 1
Ce2 Ce 0.000 0.500 0.000 1
Ce3 Ce 0.000 0.500 0.500 1
Ce4 Ce 0.248 0.248 0.248 1
Ce5 Ce 0.500 0.500 0.000 1
Dy1 Dy 0.500 0.500 0.500 1
Pu1 Pu 0.000 0.000 0.500 1
```

=====

[13]
# CoN

An optimized crystal structure of CoN (PBE, the Alexandria database).

- excess energy over the best structure of this formula in the dataset (meV per atom) = 216
- raw formation energy (eV/atom) = 0.32
- VASP energy (eV/atom) = -7.394

Cell and atoms, written as CIF:
```
data_CoN
_chemical_formula_sum 'Co8 N8'
_cell_length_a 8.261
_cell_length_b 8.261
_cell_length_c 3.081
_cell_angle_alpha 90.00
_cell_angle_beta 90.00
_cell_angle_gamma 90.00
_symmetry_space_group_name_H-M 'P 4/m'
_symmetry_Int_Tables_number 83
loop_
_symmetry_equiv_pos_as_xyz
'x,y,z'
'-x,-y,-z'
'-y,x,z'
'y,-x,-z'
'-x,-y,z'
'x,y,-z'
'y,-x,z'
'-y,x,-z'
loop_
_atom_site_label
_atom_site_type_symbol
_atom_site_fract_x
_atom_site_fract_y
_atom_site_fract_z
_atom_site_occupancy
Co1 Co 0.089 0.616 0.000 1
Co2 Co 0.107 0.275 0.500 1
N1 N 0.136 0.396 0.000 1
N2 N 0.145 0.719 0.500 1
```

=====

[14]
# RhAu2C

An optimized crystal structure of RhAu2C (PBE, the Alexandria database).

- formation energy (eV/atom) = 0.89
- VASP energy (eV/atom) = -4.895

Cell and atoms, written as CIF:
```
data_RhAu2C
_chemical_formula_sum 'Rh4 Au8 C4'
_cell_length_a 8.117
_cell_length_b 8.117
_cell_length_c 3.969
_cell_angle_alpha 90.00
_cell_angle_beta 90.00
_cell_angle_gamma 90.00
_symmetry_space_group_name_H-M 'I -4 2 d'
_symmetry_Int_Tables_number 122
_symmetry_space_group_name_Hall 'I -4 2bw'
loop_
_atom_site_label
_atom_site_type_symbol
_atom_site_fract_x
_atom_site_fract_y
_atom_site_fract_z
_atom_site_occupancy
Rh1 Rh 0.000 0.000 0.000 1
Au1 Au 0.131 0.250 0.625 1
C1 C 0.000 0.000 0.500 1
```

=====

[15]
# Ho5Bi2Te

An optimized crystal structure of Ho5Bi2Te (PBE, the Alexandria database).

- raw formation energy (eV/atom) = -0.48
- VASP energy (eV/atom) = -4.707

Cell and atoms, written as CIF:
```
data_Ho5Bi2Te
_chemical_formula_sum 'Ho20 Bi8 Te4'
_cell_length_a 6.106
_cell_length_b 12.561
_cell_length_c 13.575
_cell_angle_alpha 90.00
_cell_angle_beta 90.00
_cell_angle_gamma 90.00
_symmetry_space_group_name_H-M 'C m c m'
_symmetry_Int_Tables_number 63
_symmetry_space_group_name_Hall '-C 2c 2'
loop_
_atom_site_label
_atom_site_type_symbol
_atom_site_fract_x
_atom_site_fract_y
_atom_site_fract_z
_atom_site_occupancy
Ho1 Ho 0.000 0.057 0.110 1
Ho2 Ho 0.000 0.368 0.750 1
Ho3 Ho 0.000 0.380 0.061 1
Bi1 Bi 0.000 0.188 0.590 1
Te1 Te 0.000 0.241 0.250 1
```

=====

[16]
# RbBa2GaSe4

An optimized crystal structure of RbBa2GaSe4 (PBE, the Alexandria database).

- raw formation energy (eV/atom) = -1.18
- VASP energy (eV/atom) = -3.902

Cell and atoms, written as CIF:
```
data_RbBa2GaSe4
_chemical_formula_sum 'Rb4 Ba8 Ga4 Se16'
_cell_length_a 13.191
_cell_length_b 12.846
_cell_length_c 9.169
_cell_angle_alpha 90.00
_cell_angle_beta 133.85
_cell_angle_gamma 90.00
_symmetry_space_group_name_H-M 'C 1 2/c 1'
_symmetry_Int_Tables_number 15
loop_
_symmetry_equiv_pos_as_xyz
'x,y,z'
'-x,-y,-z'
'-x,y,-z+1/2'
'x,-y,z+1/2'
'x+1/2,y+1/2,z'
'-x+1/2,-y+1/2,-z'
'-x+1/2,y+1/2,-z+1/2'
'x+1/2,-y+1/2,z+1/2'
loop_
_atom_site_label
_atom_site_type_symbol
_atom_site_fract_x
_atom_site_fract_y
_atom_site_fract_z
_atom_site_occupancy
Rb1 Rb 0.000 0.000 0.000 1
Ba1 Ba 0.000 0.500 0.000 1
Ba2 Ba 0.250 0.250 0.000 1
Ga1 Ga 0.250 0.250 0.500 1
Se1 Se 0.001 0.254 0.511 1
Se2 Se 0.243 0.436 0.493 1
```

=====

[17]
# LiInHgBr2

An optimized crystal structure of LiInHgBr2 (PBE, the Alexandria database).

- raw formation energy (eV/atom) = -0.71
- VASP energy (eV/atom) = -2.367

Cell and atoms, written as CIF:
```
data_LiInHgBr2
_chemical_formula_sum 'Li1 In1 Hg1 Br2'
_cell_length_a 5.256
_cell_length_b 5.256
_cell_length_c 5.305
_cell_angle_alpha 90.00
_cell_angle_beta 90.00
_cell_angle_gamma 90.00
_symmetry_space_group_name_H-M 'P 4/m m m'
_symmetry_Int_Tables_number 123
_symmetry_space_group_name_Hall '-P 4 2'
loop_
_atom_site_label
_atom_site_type_symbol
_atom_site_fract_x
_atom_site_fract_y
_atom_site_fract_z
_atom_site_occupancy
Li1 Li 0.000 0.000 0.000 1
In1 In 0.500 0.500 0.500 1
Hg1 Hg 0.000 0.000 0.500 1
Br1 Br 0.000 0.500 0.000 1
```

=====

[18]
# LaZrB

An optimized crystal structure of LaZrB (PBE, the Alexandria database).

- excess energy over the best structure of this formula in the dataset (meV per atom) = 284
- formation energy (eV/atom) = -0.07
- VASP energy (eV/atom) = -6.788

Cell and atoms, written as CIF:
```
data_LaZrB
_chemical_formula_sum 'La4 Zr4 B4'
_cell_length_a 10.818
_cell_length_b 3.618
_cell_length_c 7.699
_cell_angle_alpha 90.00
_cell_angle_beta 120.14
_cell_angle_gamma 90.00
_symmetry_space_group_name_H-M 'C 1 2/m 1'
_symmetry_Int_Tables_number 12
loop_
_symmetry_equiv_pos_as_xyz
'x,y,z'
'-x,-y,-z'
'-x,y,-z'
'x,-y,z'
'x+1/2,y+1/2,z'
'-x+1/2,-y+1/2,-z'
'-x+1/2,y+1/2,-z'
'x+1/2,-y+1/2,z'
loop_
_atom_site_label
_atom_site_type_symbol
_atom_site_fract_x
_atom_site_fract_y
_atom_site_fract_z
_atom_site_occupancy
La1 La 0.067 0.000 0.300 1
Zr1 Zr 0.221 0.500 0.833 1
B1 B 0.083 0.500 0.012 1
```